# Li3HfSc3Se8

A relaxed structure of Li3HfSc3Se8 (PBE, the Alexandria database).

abc: 7.6996 7.6994 7.8442
angles: 119.41 90.00 120.00
With the nearest neighbours (Å) after each atom.
Fractional positions:
Li: 0.0000 0.0000 0.0000  6 Se 2.78
Li: 0.0000 0.5000 0.0000  6 Se 2.78
Li: 0.5000 0.5000 0.0000  6 Se 2.78
Hf: 0.0000 0.0000 0.5000  6 Se 2.69
Sc: 0.5000 0.0000 0.5000  6 Se 2.72
Sc: 0.5000 0.5000 0.5000  6 Se 2.72
Sc: 0.0000 0.5000 0.5000  6 Se 2.72
Se: 0.2524 0.5049 0.2575  3 Sc 2.72, 3 Li 2.78
Se: 0.7476 0.4951 0.7425  3 Sc 2.72, 3 Li 2.78
Se: 0.7548 0.5097 0.2599  1 Hf 2.69, 2 Sc 2.72, 2 Li 2.78
Se: 0.2452 0.4903 0.7401  1 Hf 2.69, 2 Sc 2.72, 2 Li 2.78
Se: 0.7548 0.0049 0.2599  1 Hf 2.69, 2 Sc 2.72, 2 Li 2.78
Se: 0.2452 0.9951 0.7401  1 Hf 2.69, 2 Sc 2.72, 2 Li 2.78
Se: 0.2501 0.0049 0.2599  1 Hf 2.69, 2 Sc 2.72, 2 Li 2.78
Se: 0.7499 0.9951 0.7401  1 Hf 2.69, 2 Sc 2.72, 2 Li 2.78

Results
uncorrected energy	-85.75	eV per cell
space-group type	No. 166
E_form (uncorrected)	-1.546	eV/atom
ρ	4835	kg/m3